# 1
A plane-wave DFT calculation with SCAN was carried out for a crystal of BeAsPb2 relaxed with PBEsol.

Unit cell a=3.347 b=3.347 c=8.045 alpha=90.00 beta=90.00 gamma=90.00
Space group P4mm (No. 99)
One atom of each set of equivalent atoms:
Be (0.000, 0.000, 0.000) [1 per cell]
As (0.500, 0.500, 0.958) [1 per cell]
Pb (0.000, 0.000, 0.652) [1 per cell]
Pb (0.500, 0.500, 0.321) [1 per cell]

- N(E_F): 2.1 states/eV/f.u.
- Raw total energy: -175.1 eV per cell

# 2
A plane-wave DFT calculation with SCAN was carried out for a crystal of MnNbFe2Se relaxed with PBEsol.

Unit cell a=4.232 b=4.232 c=4.331 alpha=90.00 beta=90.00 gamma=90.00
Space group P4/mmm (No. 123)
One atom of each set of equivalent atoms:
Mn (0.000, 0.000, 0.000) [1 per cell]
Nb (0.500, 0.500, 0.000) [1 per cell]
Fe (0.000, 0.500, 0.500) [2 per cell]
Se (0.000, 0.000, 0.500) [1 per cell]

- N(E_F): 4.9 states/eV/f.u.
- Formation energy from raw total energies: 66.10 kJ per mole of atoms
- Raw total energy: -104.3 eV per cell

# 3
A plane-wave DFT calculation with SCAN was carried out for a crystal of BaCl relaxed with PBEsol.

Unit cell a=8.589 b=4.983 c=8.089 alpha=90.00 beta=90.14 gamma=90.00
Space group C2/m (No. 12)
One atom of each set of equivalent atoms:
Ba (0.168, 0.000, 0.268) [4 per cell]
Cl (0.167, 0.000, 0.871) [4 per cell]

- N(E_F): 0.0 states/eV/f.u.
- Formation energy from raw total energies: -192.22 kJ per mole of atoms
- Raw total energy: -206.1 eV per cell

# 4
A plane-wave DFT calculation with SCAN was carried out for a crystal of NdTlCd relaxed with PBEsol.

Unit cell a=4.9295 b=4.9295 c=7.3072 alpha=90.00 beta=90.00 gamma=120.00
Space group P6_3/mmc (No. 194)
One atom of each set of equivalent atoms:
Nd (0.0000, 0.0000, 0.0000) [2 per cell]
Tl (0.3333, 0.6667, 0.2500) [2 per cell]
Cd (0.3333, 0.6667, 0.7500) [2 per cell]

- N(E_F): 1.4 states/eV/f.u.
- Raw total energy: -295.7 eV per cell

# 5
A plane-wave DFT calculation with SCAN was carried out for a crystal of Re5Ir relaxed with PBEsol.

Unit cell a=4.396 b=2.751 c=14.355 alpha=90.00 beta=90.00 gamma=90.00
Space group Amm2 (No. 38)
One atom of each set of equivalent atoms:
Re (0.000, 0.000, 0.000) [2 per cell]
Re (0.000, 0.000, 0.332) [2 per cell]
Re (0.000, 0.000, 0.667) [2 per cell]
Re (0.500, 0.000, 0.222) [2 per cell]
Re (0.500, 0.000, 0.890) [2 per cell]
Ir (0.500, 0.000, 0.554) [2 per cell]

- N(E_F): 4.0 states/eV/f.u.
- Excess energy over the best structure of this formula in the dataset: 1.5 kJ per mole of atoms
- Raw total energy: -854.9 eV per cell

# 6
A plane-wave DFT calculation with SCAN was carried out for a crystal of NbP4S5Cl5 relaxed with PBEsol.

Unit cell a=6.715 b=13.312 c=17.857 alpha=90.00 beta=105.08 gamma=90.00
Space group P2_1/c (No. 14)
One atom of each set of equivalent atoms:
Nb (0.219, 0.197, 0.033) [4 per cell]
P (0.113, 0.005, 0.308) [4 per cell]
P (0.185, 0.133, 0.615) [4 per cell]
P (0.274, 0.163, 0.747) [4 per cell]
P (0.419, 0.570, 0.204) [4 per cell]
S (0.002, 0.111, 0.773) [4 per cell]
S (0.116, 0.578, 0.910) [4 per cell]
S (0.116, 0.618, 0.204) [4 per cell]
S (0.383, 0.018, 0.601) [4 per cell]
S (0.499, 0.050, 0.784) [4 per cell]
Cl (0.089, 0.133, 0.134) [4 per cell]
Cl (0.117, 0.736, 0.533) [4 per cell]
Cl (0.259, 0.050, 0.975) [4 per cell]
Cl (0.338, 0.191, 0.453) [4 per cell]
Cl (0.458, 0.709, 0.376) [4 per cell]

- N(E_F): 0.0 states/eV/f.u.
- Formation energy from raw total energies: -64.42 kJ per mole of atoms
- Raw total energy: -691.1 eV per cell

# 7
A plane-wave DFT calculation with SCAN was carried out for a crystal of TlCdPb2 relaxed with PBEsol.

Unit cell a=3.646 b=5.657 c=10.662 alpha=90.00 beta=90.00 gamma=90.00
Space group Cmmm (No. 65)
One atom of each set of equivalent atoms:
Tl (0.000, 0.000, 0.000) [2 per cell]
Cd (0.000, 0.000, 0.500) [2 per cell]
Pb (0.000, 0.500, 0.264) [4 per cell]

- N(E_F): 1.6 states/eV/f.u.
- Excess energy over the best structure of this formula in the dataset: 2.5 kJ per mole of atoms
- Raw total energy: -508.3 eV per cell

# 8
A plane-wave DFT calculation with SCAN was carried out for a crystal of FeReRu2 relaxed with PBEsol.

Unit cell a=2.6593 b=2.6593 c=25.6522 alpha=90.00 beta=90.00 gamma=120.00
Space group R3m (No. 160, hexagonal axes)
One atom of each set of equivalent atoms:
Fe (0.0000, 0.0000, 0.0000) [3 per cell]
Re (0.0000, 0.0000, 0.2504) [3 per cell]
Ru (0.0000, 0.0000, 0.4982) [3 per cell]
Ru (0.0000, 0.0000, 0.7449) [3 per cell]

- N(E_F): 4.4 states/eV/f.u.
- Raw total energy: -474.9 eV per cell

# 9
A plane-wave DFT calculation with SCAN was carried out for a crystal of AlTe4W relaxed with PBEsol.

Unit cell a=8.708 b=8.708 c=8.708 alpha=90.00 beta=90.00 gamma=90.00
Space group F-43m (No. 216)
One atom of each set of equivalent atoms:
Al (0.000, 0.000, 0.000) [4 per cell]
Te (0.124, 0.124, 0.624) [16 per cell]
W (0.250, 0.250, 0.250) [4 per cell]

- N(E_F): 3.2 states/eV/f.u.
- Formation energy from raw total energies: 138.86 kJ per mole of atoms
- Raw total energy: -871.2 eV per cell

# 10
A plane-wave DFT calculation with SCAN was carried out for a crystal of Zr2Ag relaxed with PBEsol.

Unit cell a=7.898 b=7.898 c=7.898 alpha=90.00 beta=90.00 gamma=90.00
Space group Fd-3m (No. 227, origin choice 2)
One atom of each set of equivalent atoms:
Zr (0.000, 0.000, 0.000) [16 per cell]
Ag (0.125, 0.125, 0.625) [8 per cell]

- N(E_F): 2.7 states/eV/f.u.
- Raw total energy: -731.6 eV per cell

# 11
A plane-wave DFT calculation with SCAN was carried out for a crystal of KRhBrO2 relaxed with PBEsol.

Unit cell a=4.355 b=4.355 c=6.301 alpha=90.00 beta=90.00 gamma=90.00
Space group P4/mmm (No. 123)
One atom of each set of equivalent atoms:
K (0.000, 0.000, 0.000) [1 per cell]
Rh (0.000, 0.000, 0.500) [1 per cell]
Br (0.500, 0.500, 0.500) [1 per cell]
O (0.000, 0.500, 0.000) [2 per cell]

- N(E_F): 6.6 states/eV/f.u.
- Formation energy from raw total energies: 100.46 kJ per mole of atoms
- Raw total energy: -68.8 eV per cell

# 12
A plane-wave DFT calculation with SCAN was carried out for a crystal of Sc2InSe relaxed with PBEsol.

Unit cell a=3.461 b=4.423 c=11.222 alpha=90.00 beta=90.00 gamma=90.00
Space group Imm2 (No. 44)
One atom of each set of equivalent atoms:
Sc (0.000, 0.000, 0.000) [2 per cell]
Sc (0.000, 0.500, 0.234) [2 per cell]
In (0.000, 0.000, 0.433) [2 per cell]
Se (0.000, 0.500, 0.686) [2 per cell]

- N(E_F): 2.2 states/eV/f.u.
- Formation energy from raw total energies: -81.67 kJ per mole of atoms
- Excess energy over the best structure of this formula in the dataset: 27.1 kJ per mole of atoms
- Raw total energy: -170.6 eV per cell

# 13
A plane-wave DFT calculation with SCAN was carried out for a crystal of LaMgGa relaxed with PBEsol.

Unit cell a=7.4854 b=7.4854 c=4.5753 alpha=90.00 beta=90.00 gamma=120.00
Space group P-62m (No. 189)
One atom of each set of equivalent atoms:
La (0.0000, 0.5761, 0.0000) [3 per cell]
Mg (0.0000, 0.2422, 0.5000) [3 per cell]
Ga (0.0000, 0.0000, 0.0000) [1 per cell]
Ga (0.3333, 0.6667, 0.5000) [2 per cell]

- N(E_F): 0.6 states/eV/f.u.
- Raw total energy: -198.3 eV per cell

# 14
A plane-wave DFT calculation with SCAN was carried out for a crystal of YAlF2 relaxed with PBEsol.

Unit cell a=6.273 b=6.273 c=6.273 alpha=90.00 beta=90.00 gamma=90.00
Space group Fm-3m (No. 225)
One atom of each set of equivalent atoms:
Y (0.000, 0.000, 0.000) [4 per cell]
Al (0.000, 0.000, 0.500) [4 per cell]
F (0.250, 0.250, 0.250) [8 per cell]

- N(E_F): 2.0 states/eV/f.u.
- Formation energy from raw total energies: -157.86 kJ per mole of atoms
- Raw total energy: -196.9 eV per cell

# 15
A plane-wave DFT calculation with SCAN was carried out for a crystal of Y4CoSe relaxed with PBEsol.

Unit cell a=8.507 b=8.507 c=8.507 alpha=90.00 beta=90.00 gamma=90.00
Space group F-43m (No. 216)
One atom of each set of equivalent atoms:
Y (0.124, 0.124, 0.376) [16 per cell]
Co (0.250, 0.250, 0.750) [4 per cell]
Se (0.000, 0.000, 0.000) [4 per cell]

- N(E_F): 5.0 states/eV/f.u.
- Formation energy from raw total energies: 60.21 kJ per mole of atoms
- Raw total energy: -580.0 eV per cell

# 16
A plane-wave DFT calculation with SCAN was carried out for a crystal of InAg4As relaxed with PBEsol.

Unit cell a=7.662 b=7.662 c=7.662 alpha=90.00 beta=90.00 gamma=90.00
Space group F-43m (No. 216)
One atom of each set of equivalent atoms:
In (0.000, 0.000, 0.000) [4 per cell]
Ag (0.125, 0.125, 0.375) [16 per cell]
As (0.250, 0.250, 0.750) [4 per cell]

- N(E_F): 2.0 states/eV/f.u.
- Raw total energy: -711.9 eV per cell

# 17
A plane-wave DFT calculation with SCAN was carried out for a crystal of CoHgTe relaxed with PBEsol.

Unit cell a=3.4378 b=3.4378 c=5.9268 alpha=90.00 beta=90.00 gamma=120.00
Space group P3m1 (No. 156)
One atom of each set of equivalent atoms:
Co (0.0000, 0.0000, 0.0000) [1 per cell]
Hg (0.3333, 0.6667, 0.6959) [1 per cell]
Te (0.6667, 0.3333, 0.2364) [1 per cell]

- N(E_F): 1.8 states/eV/f.u.
- Formation energy from raw total energies: 18.26 kJ per mole of atoms
- Excess energy over the best structure of this formula in the dataset: 0.0 kJ per mole of atoms
- Raw total energy: -122.2 eV per cell

# 18
A plane-wave DFT calculation with SCAN was carried out for a crystal of Co3BiS relaxed with PBEsol.

Unit cell a=4.179 b=4.179 c=4.179 alpha=90.00 beta=90.00 gamma=90.00
Space group Pm-3m (No. 221)
One atom of each set of equivalent atoms:
Co (0.000, 0.000, 0.500) [3 per cell]
Bi (0.500, 0.500, 0.500) [1 per cell]
S (0.000, 0.000, 0.000) [1 per cell]

- N(E_F): 3.2 states/eV/f.u.
- Formation energy from raw total energies: 39.59 kJ per mole of atoms
- Raw total energy: -138.1 eV per cell

# 19
A plane-wave DFT calculation with SCAN was carried out for a crystal of NiPtRh2 relaxed with PBEsol.

Unit cell a=2.679 b=2.679 c=7.303 alpha=90.00 beta=90.00 gamma=90.00
Space group P4mm (No. 99)
One atom of each set of equivalent atoms:
Ni (0.000, 0.000, 0.000) [1 per cell]
Pt (0.500, 0.500, 0.245) [1 per cell]
Rh (0.000, 0.000, 0.515) [1 per cell]
Rh (0.500, 0.500, 0.766) [1 per cell]

- N(E_F): 4.8 states/eV/f.u.
- Raw total energy: -154.0 eV per cell

# 20
A plane-wave DFT calculation with SCAN was carried out for a crystal of Mg2Ag2Hg relaxed with PBEsol.

Unit cell a=7.524 b=7.524 c=3.350 alpha=90.00 beta=90.00 gamma=90.00
Space group P4/mbm (No. 127)
One atom of each set of equivalent atoms:
Mg (0.163, 0.337, 0.000) [4 per cell]
Ag (0.133, 0.633, 0.500) [4 per cell]
Hg (0.000, 0.000, 0.500) [2 per cell]

- N(E_F): 1.1 states/eV/f.u.
- Excess energy over the best structure of this formula in the dataset: 0.0 kJ per mole of atoms
- Raw total energy: -283.6 eV per cell